Entry 1:
Computed, not measured: a relaxed CsTa2Fe crystal at the PBE level of DFT.

Summary:
SG: Fm-3m
Final energy (eV/cell): -26.030

Cell: 4.748 4.748 4.748 Å, 60.00 60.00 60.00°
Element x y z (fractional)
Cs 0.500 0.500 0.500
Ta 0.250 0.250 0.250
Ta 0.750 0.750 0.750
Fe 0.000 0.000 0.000

Entry 2:
Computed, not measured: a relaxed CsTaFe2Tc crystal at the PBE level of DFT.

Summary:
SG: P4/mmm
Final energy (eV/cell): -31.175

Cell: 4.731 4.868 4.731 Å, 90.00 90.00 90.00°
Element x y z (fractional)
Ta 0.000 0.500 0.000
Fe 0.000 0.000 0.500
Fe 0.500 0.000 0.000
Tc 0.000 0.000 0.000
Cs 0.500 0.500 0.500

Entry 3:
Computed, not measured: a relaxed CsFe2Tc2 crystal at the PBE level of DFT.

Summary:
SG: I4/mmm
Final energy (eV/cell): -32.900
Distance to the lowest polymorph of the same formula (meV/atom): 35.3

Cell: 4.059 4.059 7.357 Å, 73.99 73.99 90.00°
Element x y z (fractional)
Tc 0.666 0.666 0.668
Tc 0.334 0.334 0.332
Fe 0.750 0.250 0.500
Fe 0.250 0.750 0.500
Cs 0.000 0.000 0.000

Entry 4:
Computed, not measured: a relaxed CsFeTc3 crystal at the PBE level of DFT.

Summary:
SG: Pm-3m
Final energy (eV/cell): -31.555
Distance to the lowest polymorph of the same formula (meV/atom): 0.0

Cell: 4.660 4.660 4.660 Å, 90.00 90.00 90.00°
Element x y z (fractional)
Tc 0.000 0.500 0.000
Tc 0.500 0.000 0.000
Tc 0.000 0.000 0.500
Cs 0.500 0.500 0.500
Fe 0.000 0.000 0.000

Entry 5:
Computed, not measured: a relaxed CsFe2Tc2 crystal at the PBE level of DFT.

Summary:
SG: P4/mbm
Final energy (eV/cell): -66.152
Distance to the lowest polymorph of the same formula (meV/atom): 0.0

Cell: 7.851 7.851 2.901 Å, 90.00 90.00 90.00°
Element x y z (fractional)
Tc 0.125 0.375 0.000
Tc 0.625 0.125 0.000
Tc 0.375 0.875 0.000
Tc 0.875 0.625 0.000
Fe 0.857 0.357 0.500
Fe 0.357 0.143 0.500
Fe 0.643 0.857 0.500
Fe 0.143 0.643 0.500
Cs 0.500 0.500 0.000
Cs 0.000 0.000 0.000

Entry 6:
Computed, not measured: a relaxed Cs2FeTc crystal at the PBE level of DFT.

Summary:
SG: Fm-3m
Final energy (eV/cell): -12.523

Cell: 6.277 6.277 6.277 Å, 60.00 60.00 60.00°
Element x y z (fractional)
Tc 0.500 0.500 0.500
Fe 0.000 0.000 0.000
Cs 0.750 0.750 0.750
Cs 0.250 0.250 0.250

Entry 7:
Computed, not measured: a relaxed CsFeTc3 crystal at the PBE level of DFT.

Summary:
SG: Pm-3m
Final energy (eV/cell): -22.066
Distance to the lowest polymorph of the same formula (meV/atom): 1897.7

Cell: 4.807 4.807 4.807 Å, 90.00 90.00 90.00°
Element x y z (fractional)
Fe 0.500 0.500 0.500
Tc 0.500 0.000 0.000
Tc 0.000 0.000 0.500
Tc 0.000 0.500 0.000
Cs 0.000 0.000 0.000

Entry 8:
Computed, not measured: a relaxed CsV2FeTc crystal at the PBE level of DFT.

Summary:
SG: P4/mmm
Final energy (eV/cell): -28.323

Cell: 4.678 5.774 4.678 Å, 90.00 90.00 90.00°
Element x y z (fractional)
V 0.000 0.000 0.500
V 0.500 0.000 0.000
Fe 0.500 0.500 0.500
Cs 0.000 0.500 0.000
Tc 0.000 0.000 0.000

Entry 9:
Computed, not measured: a relaxed Cs4FeTe4 crystal at the PBE level of DFT.

Summary:
SG: P4_2/nmc
Final energy (eV/cell): -62.093
Formation energy without anion corrections (meV per atom): -734

Cell: 7.840 10.716 10.716 Å, 90.00 90.00 90.00°
Element x y z (fractional)
Te 0.668 0.705 0.500
Te 0.332 0.500 0.705
Te 0.168 0.000 0.795
Te 0.832 0.205 0.000
Te 0.168 0.000 0.205
Te 0.668 0.295 0.500
Te 0.832 0.795 0.000
Te 0.332 0.500 0.295
Cs 0.334 0.727 0.000
Cs 0.834 0.500 0.773
Cs 0.666 0.000 0.273
Cs 0.166 0.773 0.500
Cs 0.166 0.227 0.500
Cs 0.334 0.273 0.000
Cs 0.834 0.500 0.227
Cs 0.666 0.000 0.727
Fe 0.500 0.500 0.500
Fe 0.000 0.000 0.000

Entry 10:
Computed, not measured: a relaxed CsFeTe crystal at the PBE level of DFT.

Summary:
SG: P2_1/c
Final energy (eV/cell): -52.552
Formation energy without anion corrections (meV per atom): -227

Cell: 4.854 9.060 12.641 Å, 112.39 90.00 90.00°
Element x y z (fractional)
Fe 0.496 0.750 0.750
Fe 0.504 0.250 0.250
Fe 0.996 0.750 0.750
Fe 0.004 0.250 0.250
Cs 0.750 0.705 0.431
Cs 0.250 0.795 0.069
Cs 0.750 0.205 0.931
Cs 0.250 0.295 0.569
Te 0.752 0.054 0.317
Te 0.248 0.946 0.683
Te 0.252 0.446 0.183
Te 0.748 0.554 0.817

Entry 11:
Computed, not measured: a relaxed CsFe2Te3 crystal at the PBE level of DFT.

Summary:
SG: Cmcm
Final energy (eV/cell): -58.065
Formation energy without anion corrections (meV per atom): -305

Cell: 8.621 8.621 5.619 Å, 90.00 90.00 104.43°
Element x y z (fractional)
Cs 0.349 0.651 0.750
Cs 0.651 0.349 0.250
Fe 0.879 0.879 0.000
Fe 0.879 0.879 0.500
Fe 0.121 0.121 0.000
Fe 0.121 0.121 0.500
Te 0.869 0.629 0.750
Te 0.629 0.869 0.250
Te 0.131 0.371 0.250
Te 0.131 0.869 0.250
Te 0.869 0.131 0.750
Te 0.371 0.131 0.750

Entry 12:
Computed, not measured: a relaxed Cs3U3FeTe8 crystal at the PBE level of DFT.

Summary:
SG: R-3m
Final energy (eV/cell): -79.931
Formation energy without anion corrections (meV per atom): -661

Cell: 8.824 8.824 10.490 Å, 114.89 90.00 120.00°
Element x y z (fractional)
Cs 0.000 0.000 0.000
Cs 0.000 0.500 0.000
Cs 0.500 0.500 0.000
U 0.500 0.500 0.500
U 0.000 0.500 0.500
U 0.500 0.000 0.500
Fe 0.000 0.000 0.500
Te 0.782 0.039 0.321
Te 0.257 0.039 0.321
Te 0.732 0.463 0.694
Te 0.743 0.961 0.679
Te 0.268 0.537 0.306
Te 0.218 0.961 0.679
Te 0.782 0.563 0.321
Te 0.218 0.437 0.679

Entry 13:
Computed, not measured: a relaxed CsV2FeTe crystal at the PBE level of DFT.

Summary:
SG: P4/mmm
Final energy (eV/cell): -18.889
Formation energy without anion corrections (meV per atom): 2361

Cell: 5.164 4.739 5.164 Å, 90.00 90.00 90.00°
Element x y z (fractional)
V 0.000 0.000 0.500
V 0.500 0.000 0.000
Cs 0.000 0.000 0.000
Te 0.500 0.500 0.500
Fe 0.000 0.500 0.000

Entry 14:
Computed, not measured: a relaxed CsZnFeTe2 crystal at the PBE level of DFT.

Summary:
SG: P4/mmm
Final energy (eV/cell): -15.504
Formation energy without anion corrections (meV per atom): 274

Cell: 5.638 5.004 5.638 Å, 90.00 90.00 90.00°
Element x y z (fractional)
Te 0.000 0.000 0.500
Te 0.500 0.000 0.000
Cs 0.500 0.500 0.500
Zn 0.000 0.000 0.000
Fe 0.000 0.500 0.000

Entry 15:
Computed, not measured: a relaxed CsTiFe3 crystal at the PBE level of DFT.

Summary:
SG: Pm-3m
Final energy (eV/cell): -27.265
Distance to the lowest polymorph of the same formula (meV/atom): 0.0

Cell: 4.891 4.891 4.891 Å, 90.00 90.00 90.00°
Element x y z (fractional)
Cs 0.500 0.500 0.500
Fe 0.000 0.500 0.000
Fe 0.500 0.000 0.000
Fe 0.000 0.000 0.500
Ti 0.000 0.000 0.000

Entry 16:
Computed, not measured: a relaxed CsTi3Fe crystal at the PBE level of DFT.

Summary:
SG: Pm-3m
Final energy (eV/cell): -21.401
Distance to the lowest polymorph of the same formula (meV/atom): 1502.9

Cell: 4.917 4.917 4.917 Å, 90.00 90.00 90.00°
Element x y z (fractional)
Fe 0.500 0.500 0.500
Ti 0.000 0.500 0.000
Ti 0.500 0.000 0.000
Ti 0.000 0.000 0.500
Cs 0.000 0.000 0.000

Entry 17:
Computed, not measured: a relaxed CsTi2Fe crystal at the PBE level of DFT.

Summary:
SG: Fm-3m
Final energy (eV/cell): -19.887

Cell: 4.790 4.790 4.790 Å, 60.00 60.00 60.00°
Element x y z (fractional)
Ti 0.250 0.250 0.250
Ti 0.750 0.750 0.750
Fe 0.000 0.000 0.000
Cs 0.500 0.500 0.500

Entry 18:
Computed, not measured: a relaxed CsTiFe3 crystal at the PBE level of DFT.

Summary:
SG: Pm-3m
Final energy (eV/cell): -20.494
Distance to the lowest polymorph of the same formula (meV/atom): 1354.1

Cell: 4.566 4.566 4.566 Å, 90.00 90.00 90.00°
Element x y z (fractional)
Fe 0.500 0.000 0.000
Fe 0.000 0.000 0.500
Fe 0.000 0.500 0.000
Cs 0.000 0.000 0.000
Ti 0.500 0.500 0.500

Entry 19:
Computed, not measured: a relaxed CsTi3Fe crystal at the PBE level of DFT.

Summary:
SG: Pm-3m
Final energy (eV/cell): -28.915
Distance to the lowest polymorph of the same formula (meV/atom): 0.0

Cell: 4.763 4.763 4.763 Å, 90.00 90.00 90.00°
Element x y z (fractional)
Ti 0.000 0.500 0.000
Ti 0.500 0.000 0.000
Ti 0.000 0.000 0.500
Fe 0.000 0.000 0.000
Cs 0.500 0.500 0.500

Entry 20:
Computed, not measured: a relaxed CsTiFe2 crystal at the PBE level of DFT.

Summary:
SG: Fm-3m
Final energy (eV/cell): -19.843

Cell: 4.768 4.768 4.768 Å, 60.00 60.00 60.00°
Element x y z (fractional)
Cs 0.500 0.500 0.500
Ti 0.000 0.000 0.000
Fe 0.250 0.250 0.250
Fe 0.750 0.750 0.750